This record from Alexandria via LeMat-Bulk describes crystalline InAgPd at its relaxed geometry. The functional is PBE.

Lattice parameters (Å, degrees): 9.6185 9.2073 5.5868 76.81 68.75 34.44
Last column: nearest neighbours and their distance in Å.
Fractional positions:
In 0.0556 0.6944 0.0556  4 Pd 2.73-2.74, 2 Ag 2.87
In 0.3056 0.9444 0.3056  4 Pd 2.73-2.74, 2 Ag 2.87
In 0.6944 0.0556 0.6944  4 Pd 2.73-2.74, 2 Ag 2.87
In 0.9444 0.3056 0.9444  4 Pd 2.73-2.74, 2 Ag 2.87
Ag 0.0000 0.5000 0.5000  2 Ag 2.79, 2 Pd 2.80, 2 In 2.87
Ag 0.5000 0.0000 0.5000  2 Ag 2.79, 2 Pd 2.80, 2 In 2.87
Ag 0.5000 0.5000 0.0000  2 Ag 2.79, 2 Pd 2.80, 2 In 2.87
Ag 0.5000 0.5000 0.5000  2 Ag 2.79, 2 Pd 2.80, 2 In 2.87
Pd 0.0055 0.0055 0.7445  4 In 2.73-2.74, 2 Ag 2.80, 2 Pd 2.80
Pd 0.2555 0.2555 0.9945  4 In 2.73-2.74, 2 Ag 2.80, 2 Pd 2.80
Pd 0.7445 0.7445 0.0055  4 In 2.73-2.74, 2 Ag 2.80, 2 Pd 2.80
Pd 0.9945 0.9945 0.2555  4 In 2.73-2.74, 2 Ag 2.80, 2 Pd 2.80

Values from the calculation:
For the energy relative to the lowest polymorph listed for this composition, the calculation gives 180 meV per atom. The value obtained for the total magnetization is 0.00 μB/f.u. The theoretical density is 8459 kg/m³. The total energy comes out at -3.725 eV/atom. The value obtained for the formation energy is -131 meV per atom.